Material: SrCd2GePd4
Method: DFT, PBE
State: relaxed

Cell: 4.5953 4.5953 26.4253 Å, 90.00 90.00 120.00°
Space group R-3m (No. 166, hexagonal axes)
One atom of each set of equivalent atoms:
Sr  0.0000  0.0000  0.0000 [3 per cell]
Cd  0.0000  0.0000  0.2446 [6 per cell]
Ge  0.0000  0.0000  0.5000 [3 per cell]
Pd  0.0000  0.0000  0.1353 [6 per cell]
Pd  0.0000  0.0000  0.4075 [6 per cell]

Results
DOS at the Fermi energy	12.19	states/eV per cell
total DFT energy (no corrections)	-4.04	eV per atom

Material: Pr6YS8
Method: DFT, PBE
State: relaxed

Cell: 11.561 11.561 11.561 Å, 90.00 90.00 90.00°
Space group Fm-3m (No. 225)
One atom of each set of equivalent atoms:
Pr  0.000  0.250  0.250 [24 per cell]
Y  0.000  0.000  0.000 [4 per cell]
S  0.000  0.000  0.241 [24 per cell]
S  0.250  0.250  0.250 [8 per cell]

Results
DOS at the Fermi energy	28.75	states/eV per cell
E_form (uncorrected)	-2.046	eV/atom
total DFT energy (no corrections)	-6.59	eV per atom

Material: ErPaP2
Method: DFT, PBE
State: relaxed

Cell: 3.8497 3.8497 20.7565 Å, 90.00 90.00 120.00°
Space group R3m (No. 160, hexagonal axes)
One atom of each set of equivalent atoms:
Er  0.0000  0.0000  0.0000 [3 per cell]
Pa  0.0000  0.0000  0.8261 [3 per cell]
P  0.0000  0.0000  0.4109 [3 per cell]
P  0.0000  0.0000  0.5796 [3 per cell]

Results
DOS at the Fermi energy	7.59	states/eV per cell
energy relative to the lowest polymorph listed for this composition	166	meV/atom
total DFT energy (no corrections)	-7.51	eV per atom

Material: Cs2BaIrPd
Method: DFT, PBE
State: relaxed

Cell: 6.337 6.337 5.059 Å, 90.00 90.00 90.00°
Space group P4/mmm (No. 123)
One atom of each set of equivalent atoms:
Cs  0.000  0.500  0.000 [2 per cell]
Ba  0.000  0.000  0.500 [1 per cell]
Ir  0.500  0.500  0.500 [1 per cell]
Pd  0.500  0.500  0.000 [1 per cell]

Results
DOS at the Fermi energy	5.85	states/eV per cell
total DFT energy (no corrections)	-2.83	eV per atom

Material: Tb6SiGe2S3
Method: DFT, PBE
State: relaxed

Cell: 17.721 4.061 8.136 Å, 90.00 103.83 90.00°
Space group C2/m (No. 12)
One atom of each set of equivalent atoms:
Tb  0.000  0.000  0.248 [4 per cell]
Tb  0.166  0.500  0.083 [4 per cell]
Tb  0.166  0.500  0.583 [4 per cell]
Si  0.000  0.500  0.000 [2 per cell]
Ge  0.167  0.000  0.333 [4 per cell]
S  0.000  0.500  0.500 [2 per cell]
S  0.167  0.000  0.833 [4 per cell]

Results
DOS at the Fermi energy	7.43	states/eV per cell
E_form (uncorrected)	-1.434	eV/atom
total DFT energy (no corrections)	-6.00	eV per atom

Material: Ca2ReTe
Method: DFT, PBE
State: relaxed

Cell: 4.738 4.746 8.847 Å, 90.00 90.00 90.00°
Space group Cmmm (No. 65)
One atom of each set of equivalent atoms:
Ca  0.000  0.000  0.225 [4 per cell]
Re  0.000  0.500  0.000 [2 per cell]
Te  0.000  0.500  0.500 [2 per cell]

Results
DOS at the Fermi energy	5.58	states/eV per cell
E_form (uncorrected)	0.187	eV/atom
total DFT energy (no corrections)	-4.71	eV per atom

Material: Ac6Tl3H
Method: DFT, PBE
State: relaxed

Cell: 13.106 15.706 6.907 Å, 90.00 90.00 90.00°
Space group Cmc2_1 (No. 36)
One atom of each set of equivalent atoms:
Ac  0.000  0.092  0.000 [4 per cell]
Ac  0.000  0.305  0.259 [4 per cell]
Ac  0.176  0.291  0.770 [8 per cell]
Ac  0.224  0.454  0.346 [8 per cell]
Tl  0.000  0.469  0.627 [4 per cell]
Tl  0.115  0.117  0.476 [8 per cell]
H  0.000  0.252  0.915 [4 per cell]

Results
DOS at the Fermi energy	45.21	states/eV per cell
total DFT energy (no corrections)	-3.75	eV per atom

Material: ReSn3Pt
Method: DFT, PBE
State: relaxed

Cell: 5.113 5.113 5.113 Å, 90.00 90.00 90.00°
Space group Pm-3m (No. 221)
One atom of each set of equivalent atoms:
Re  0.000  0.000  0.000 [1 per cell]
Sn  0.000  0.000  0.500 [3 per cell]
Pt  0.500  0.500  0.500 [1 per cell]

Results
DOS at the Fermi energy	6.36	states/eV per cell
energy relative to the lowest polymorph listed for this composition	0	meV/atom
total DFT energy (no corrections)	-5.47	eV per atom

Material: La2Tb2NdY
Method: DFT, PBE
State: relaxed

Cell: 5.759 9.955 7.163 Å, 90.00 90.00 90.00°
Space group Pmc2_1 (No. 26)
One atom of each set of equivalent atoms:
La  0.000  0.000  0.000 [2 per cell]
La  0.500  0.175  0.250 [2 per cell]
Tb  0.000  0.334  0.250 [2 per cell]
Tb  0.500  0.166  0.750 [2 per cell]
Nd  0.000  0.339  0.750 [2 per cell]
Y  0.500  0.500  0.000 [2 per cell]

Results
DOS at the Fermi energy	20.27	states/eV per cell
total DFT energy (no corrections)	-5.00	eV per atom

Material: HfAuSCl2
Method: DFT, PBE
State: relaxed

Cell: 4.904 4.904 4.964 Å, 90.00 90.00 90.00°
Space group P4/mmm (No. 123)
One atom of each set of equivalent atoms:
Hf  0.000  0.000  0.000 [1 per cell]
Au  0.500  0.500  0.500 [1 per cell]
S  0.500  0.500  0.000 [1 per cell]
Cl  0.000  0.500  0.500 [2 per cell]

Results
DOS at the Fermi energy	4.69	states/eV per cell
energy relative to the lowest polymorph listed for this composition	1114	meV/atom
E_form (uncorrected)	0.471	eV/atom
total DFT energy (no corrections)	-3.74	eV per atom

Material: CeCo2P2
Method: DFT, PBE
State: relaxed

Cell: 5.502 9.479 11.597 Å, 90.00 90.00 90.00°
Space group Fddd (No. 70, origin choice 2)
One atom of each set of equivalent atoms:
Ce  0.125  0.125  0.125 [8 per cell]
Co  0.125  0.125  0.514 [16 per cell]
P  0.125  0.315  0.625 [16 per cell]

Results
DOS at the Fermi energy	46.28	states/eV per cell
total DFT energy (no corrections)	-7.15	eV per atom

Material: TlCr2Re
Method: DFT, PBE
State: relaxed

Cell: 4.397 4.397 3.165 Å, 90.00 90.00 90.00°
Space group P4/mmm (No. 123)
One atom of each set of equivalent atoms:
Tl  0.000  0.000  0.000 [1 per cell]
Cr  0.000  0.500  0.500 [2 per cell]
Re  0.500  0.500  0.000 [1 per cell]

Results
DOS at the Fermi energy	3.46	states/eV per cell
energy relative to the lowest polymorph listed for this composition	231	meV/atom
total DFT energy (no corrections)	-7.81	eV per atom

Material: Al2InMo
Method: DFT, PBE
State: relaxed

Cell: 2.871 4.742 5.156 Å, 90.00 91.72 90.00°
Space group P2/m (No. 10)
One atom of each set of equivalent atoms:
Al  0.205  0.000  0.274 [2 per cell]
In  0.000  0.500  0.000 [1 per cell]
Mo  0.500  0.500  0.500 [1 per cell]

Results
DOS at the Fermi energy	1.78	states/eV per cell
total DFT energy (no corrections)	-5.14	eV per atom

Material: Na2CuC2O6
Method: DFT, PBE
State: relaxed

Cell: 5.760 8.143 6.303 Å, 90.00 115.42 90.00°
Space group P2_1/c (No. 14)
One atom of each set of equivalent atoms:
Na  0.137  0.092  0.315 [4 per cell]
Cu  0.500  0.000  0.000 [2 per cell]
C  0.305  0.731  0.130 [4 per cell]
O  0.121  0.669  0.594 [4 per cell]
O  0.285  0.575  0.175 [4 per cell]
O  0.483  0.224  0.882 [4 per cell]

Results
energy relative to the lowest polymorph listed for this composition	0	meV/atom
E_form (uncorrected)	-1.438	eV/atom
total DFT energy (no corrections)	-6.43	eV per atom

Material: GeSbMoW
Method: DFT, PBE
State: relaxed

Cell: 4.728 3.377 9.796 Å, 90.00 91.22 90.00°
Space group Cm (No. 8)
One atom of each set of equivalent atoms:
Ge  0.000  0.000  0.000 [2 per cell]
Sb  0.231  0.000  0.332 [2 per cell]
Mo  0.403  0.000  0.785 [2 per cell]
W  0.400  0.500  0.575 [2 per cell]

Results
DOS at the Fermi energy	4.76	states/eV per cell
energy relative to the lowest polymorph listed for this composition	168	meV/atom
E_form (uncorrected)	0.315	eV/atom
total DFT energy (no corrections)	-7.82	eV per atom

Material: LiPm2Al2Rh5
Method: DFT, PBE
State: relaxed

Cell: 9.981 9.981 3.480 Å, 90.00 90.00 90.00°
Space group P4/mbm (No. 127)
One atom of each set of equivalent atoms:
Li  0.000  0.000  0.000 [2 per cell]
Pm  0.176  0.324  0.000 [4 per cell]
Al  0.124  0.624  0.000 [4 per cell]
Rh  0.000  0.500  0.500 [2 per cell]
Rh  0.065  0.793  0.500 [8 per cell]

Results
DOS at the Fermi energy	6.41	states/eV per cell
total DFT energy (no corrections)	-6.22	eV per atom

Material: FeNiIr2
Method: DFT, PBE
State: relaxed

Cell: 2.688 3.580 5.393 Å, 90.00 90.00 90.00°
Space group Pmmm (No. 47)
One atom of each set of equivalent atoms:
Fe  0.000  0.000  0.000 [1 per cell]
Ni  0.000  0.000  0.500 [1 per cell]
Ir  0.500  0.500  0.251 [2 per cell]

Results
DOS at the Fermi energy	4.80	states/eV per cell
energy relative to the lowest polymorph listed for this composition	20	meV/atom
total DFT energy (no corrections)	-8.01	eV per atom